Here is YFe2Sb6 after structural relaxation from Alexandria. Energies are from GGA-PBE.

a b c (Å): 7.8289 7.8289 3.9924
angles (deg): 90.00 90.00 120.00
With the nearest neighbours (Å) after each atom.
Fractional positions:
Y 0.0000 0.0000 0.0000  9 Sb 3.12-3.18
Fe 0.3333 0.6667 0.5000  3 Sb 2.72
Fe 0.6667 0.3333 0.5000  3 Sb 2.72
Sb 0.0000 0.4059 0.0000  2 Sb 3.01, 4 Fe 3.10, 1 Y 3.18
Sb 0.0000 0.6938 0.5000  2 Fe 2.72, 2 Sb 3.01
Sb 0.3062 0.3062 0.5000  2 Fe 2.72, 2 Sb 3.01
Sb 0.4059 0.0000 0.0000  2 Sb 3.01, 4 Fe 3.10, 1 Y 3.18
Sb 0.5941 0.5941 0.0000  2 Sb 3.01, 4 Fe 3.10, 1 Y 3.18
Sb 0.6938 0.0000 0.5000  2 Fe 2.72, 2 Sb 3.01

Summary:
Final energy, eV per cell: -47.33
Density of states at the Fermi level, states/eV/cell: 10.51
Uncorrected formation energy, eV/f.u.: 0.793
Space group: P-62m, No. 189
Crystal system: hexagonal